A relaxed structure of Zr2NiP. Source: the Alexandria database, functional PBE.

Cell and atoms, written as CIF:
```
data_Zr2NiP
_symmetry_space_group_name_H-M 'C m m m'
_symmetry_Int_Tables_number 65
_symmetry_space_group_name_Hall '-C 2 2'
_cell_length_a 4.025
_cell_length_b 4.851
_cell_length_c 7.032
_cell_angle_alpha 90.00
_cell_angle_beta 90.00
_cell_angle_gamma 90.00
loop_
_atom_site_label
_atom_site_type_symbol
_atom_site_fract_x
_atom_site_fract_y
_atom_site_fract_z
Zr1 Zr 0.000 0.000 0.247
Ni1 Ni 0.000 0.500 0.500
P1 P 0.000 0.500 0.000
```

Summary:
Formation energy from the elements ... -0.55 eV per atom


A relaxed structure of KAg2SeBr. Source: the Alexandria database, functional PBE.

Cell and atoms, written as CIF:
```
data_KAg2SeBr
_symmetry_space_group_name_H-M 'P 4/m m m'
_symmetry_Int_Tables_number 123
_symmetry_space_group_name_Hall '-P 4 2'
_cell_length_a 4.958
_cell_length_b 4.958
_cell_length_c 6.709
_cell_angle_alpha 90.00
_cell_angle_beta 90.00
_cell_angle_gamma 90.00
loop_
_atom_site_label
_atom_site_type_symbol
_atom_site_fract_x
_atom_site_fract_y
_atom_site_fract_z
K1 K 0.000 0.000 0.000
Ag1 Ag 0.000 0.500 0.500
Se1 Se 0.000 0.000 0.500
Br1 Br 0.500 0.500 0.000
```

Summary:
Energy relative to the elements, uncorrected ... -558 meV per atom


A relaxed structure of RbMgCd. Source: the Alexandria database, functional PBE.

Cell and atoms, written as CIF:
```
data_RbMgCd
_symmetry_space_group_name_H-M 'P 4/n m m'
_symmetry_Int_Tables_number 129
_cell_length_a 5.148
_cell_length_b 5.148
_cell_length_c 8.617
_cell_angle_alpha 90.00
_cell_angle_beta 90.00
_cell_angle_gamma 90.00
loop_
_symmetry_equiv_pos_as_xyz
'x,y,z'
'-x,-y,-z'
'-y+1/2,x,z'
'y+1/2,-x,-z'
'-x+1/2,-y+1/2,z'
'x+1/2,y+1/2,-z'
'y,-x+1/2,z'
'-y,x+1/2,-z'
'x+1/2,-y,-z'
'-x+1/2,y,z'
'-y,-x,-z'
'y,x,z'
'-x,y+1/2,-z'
'x,-y+1/2,z'
'y+1/2,x+1/2,-z'
'-y+1/2,-x+1/2,z'
loop_
_atom_site_label
_atom_site_type_symbol
_atom_site_fract_x
_atom_site_fract_y
_atom_site_fract_z
Rb1 Rb 0.250 0.250 0.152
Mg1 Mg 0.250 0.750 0.500
Cd1 Cd 0.250 0.250 0.674
```

Summary:
Formation energy from the elements ... 0.00 eV per atom
E above lowest polymorph ... 0 meV per atom


A relaxed structure of Mn4AgTe. Source: the Alexandria database, functional PBE.

Cell and atoms, written as CIF:
```
data_Mn4AgTe
_symmetry_space_group_name_H-M 'F -4 3 m'
_symmetry_Int_Tables_number 216
_symmetry_space_group_name_Hall 'F -4 2 3'
_cell_length_a 7.091
_cell_length_b 7.091
_cell_length_c 7.091
_cell_angle_alpha 90.00
_cell_angle_beta 90.00
_cell_angle_gamma 90.00
loop_
_atom_site_label
_atom_site_type_symbol
_atom_site_fract_x
_atom_site_fract_y
_atom_site_fract_z
Mn1 Mn 0.125 0.125 0.125
Ag1 Ag 0.000 0.000 0.500
Te1 Te 0.250 0.250 0.750
```

Summary:
Energy relative to the elements, uncorrected ... 513 meV per atom


A relaxed structure of CeTiPb. Source: the Alexandria database, functional PBE.

Cell and atoms, written as CIF:
```
data_CeTiPb
_symmetry_space_group_name_H-M 'F m m m'
_symmetry_Int_Tables_number 69
_symmetry_space_group_name_Hall '-F 2 2'
_cell_length_a 5.945
_cell_length_b 9.685
_cell_length_c 10.283
_cell_angle_alpha 90.00
_cell_angle_beta 90.00
_cell_angle_gamma 90.00
loop_
_atom_site_label
_atom_site_type_symbol
_atom_site_fract_x
_atom_site_fract_y
_atom_site_fract_z
Ce1 Ce 0.000 0.196 0.000
Ti1 Ti 0.250 0.250 0.250
Pb1 Pb 0.000 0.000 0.336
```

Summary:
Formation energy from the elements ... 0.03 eV per atom
E above lowest polymorph ... 42 meV per atom


A relaxed structure of ErMg12Sc3. Source: the Alexandria database, functional PBE.

Cell and atoms, written as CIF:
```
data_ErMg12Sc3
_symmetry_space_group_name_H-M 'P 4/m m m'
_symmetry_Int_Tables_number 123
_symmetry_space_group_name_Hall '-P 4 2'
_cell_length_a 4.509
_cell_length_b 4.509
_cell_length_c 18.469
_cell_angle_alpha 90.00
_cell_angle_beta 90.00
_cell_angle_gamma 90.00
loop_
_atom_site_label
_atom_site_type_symbol
_atom_site_fract_x
_atom_site_fract_y
_atom_site_fract_z
Er1 Er 0.000 0.000 0.000
Mg1 Mg 0.000 0.500 0.130
Mg2 Mg 0.000 0.500 0.377
Mg3 Mg 0.500 0.500 0.000
Mg4 Mg 0.500 0.500 0.254
Mg5 Mg 0.500 0.500 0.500
Sc1 Sc 0.000 0.000 0.253
Sc2 Sc 0.000 0.000 0.500
```

Summary:
Formation energy from the elements ... -0.04 eV per atom


A relaxed structure of NbSi2B. Source: the Alexandria database, functional PBE.

Cell and atoms, written as CIF:
```
data_NbSi2B
_symmetry_space_group_name_H-M 'I -4 2 d'
_symmetry_Int_Tables_number 122
_symmetry_space_group_name_Hall 'I -4 2bw'
_cell_length_a 6.380
_cell_length_b 6.380
_cell_length_c 5.217
_cell_angle_alpha 90.00
_cell_angle_beta 90.00
_cell_angle_gamma 90.00
loop_
_atom_site_label
_atom_site_type_symbol
_atom_site_fract_x
_atom_site_fract_y
_atom_site_fract_z
Nb1 Nb 0.000 0.000 0.000
Si1 Si 0.169 0.250 0.625
B1 B 0.000 0.000 0.500
```

Summary:
Energy relative to the elements, uncorrected ... 102 meV per atom


A relaxed structure of BeReCl3. Source: the Alexandria database, functional PBE.

Cell and atoms, written as CIF:
```
data_BeReCl3
_symmetry_space_group_name_H-M 'P m -3 m'
_symmetry_Int_Tables_number 221
_symmetry_space_group_name_Hall '-P 4 2 3'
_cell_length_a 4.842
_cell_length_b 4.842
_cell_length_c 4.842
_cell_angle_alpha 90.00
_cell_angle_beta 90.00
_cell_angle_gamma 90.00
loop_
_atom_site_label
_atom_site_type_symbol
_atom_site_fract_x
_atom_site_fract_y
_atom_site_fract_z
Be1 Be 0.000 0.000 0.000
Re1 Re 0.500 0.500 0.500
Cl1 Cl 0.000 0.500 0.500
```

Summary:
Energy relative to the elements, uncorrected ... 668 meV per atom
E above lowest polymorph ... 139 meV per atom